16
Lattice="3.998 0.000 0.000 0.000 17.457 0.000 0.000 0.000 5.621" Properties=species:S:1:pos:R:3 comment="PBE TlCdSeF, optimized geometry" polymorph_energy_ev_per_atom=0.153 pbc="T T T"
Tl 0.000 3.152 1.405
Tl 0.000 14.305 4.216
Tl 1.999 5.576 4.216
Tl 1.999 11.881 1.405
Cd 0.000 8.729 0.000
Cd 0.000 8.729 2.811
Cd 1.999 0.000 0.000
Cd 1.999 0.000 2.811
Se 0.000 6.503 1.405
Se 0.000 10.954 4.216
Se 1.999 2.226 4.216
Se 1.999 15.232 1.405
F 0.000 0.679 1.405
F 0.000 16.779 4.216
F 1.999 8.050 4.216
F 1.999 9.408 1.405